Entry 1:
# CsSm5Te8, relaxed, DFT GGA-PBE
data_CsSm5Te8
_chemical_formula_sum 'Cs2 Sm10 Te16'
_symmetry_space_group_name_H-M 'C 1 m 1'
_symmetry_Int_Tables_number 8
_cell_length_a 23.171
_cell_length_b 4.505
_cell_length_c 11.021
_cell_angle_alpha 90.00
_cell_angle_beta 103.85
_cell_angle_gamma 90.00
loop_
_symmetry_equiv_pos_as_xyz
'x,y,z'
'x,-y,z'
'x+1/2,y+1/2,z'
'x+1/2,-y+1/2,z'
loop_
_atom_site_label
_atom_site_type_symbol
_atom_site_fract_x
_atom_site_fract_y
_atom_site_fract_z
_atom_site_occupancy
Cs1 Cs 0.000 0.000 0.000 1
Sm1 Sm 0.000 0.500 0.499 1
Sm2 Sm 0.156 0.000 0.462 1
Sm3 Sm 0.204 0.000 0.843 1
Sm4 Sm 0.296 0.500 0.156 1
Sm5 Sm 0.345 0.500 0.538 1
Te1 Te 0.077 0.000 0.658 1
Te2 Te 0.082 0.500 0.308 1
Te3 Te 0.166 0.500 0.998 1
Te4 Te 0.232 0.500 0.650 1
Te5 Te 0.269 0.000 0.349 1
Te6 Te 0.334 0.000 0.001 1
Te7 Te 0.418 0.000 0.691 1
Te8 Te 0.424 0.500 0.341 1
# - formation energy from raw total energies (eV per atom) = -1.42

---

Entry 2:
# TlSi3B, relaxed, DFT GGA-PBE
data_TlSi3B
_chemical_formula_sum 'Tl1 Si3 B1'
_symmetry_space_group_name_H-M 'P m -3 m'
_symmetry_Int_Tables_number 221
_symmetry_space_group_name_Hall '-P 4 2 3'
_cell_length_a 5.212
_cell_length_b 5.212
_cell_length_c 5.212
_cell_angle_alpha 90.00
_cell_angle_beta 90.00
_cell_angle_gamma 90.00
loop_
_atom_site_label
_atom_site_type_symbol
_atom_site_fract_x
_atom_site_fract_y
_atom_site_fract_z
_atom_site_occupancy
Tl1 Tl 0.000 0.000 0.000 1
Si1 Si 0.000 0.000 0.500 1
B1 B 0.500 0.500 0.500 1
# - distance to the lowest polymorph of the same formula (meV per atom) = 1600
# - formation energy from raw total energies (eV per atom) = 2.38

---

Entry 3:
# Mg2SnHg8, relaxed, DFT GGA-PBE
data_Mg2SnHg8
_chemical_formula_sum 'Mg4 Sn2 Hg16'
_symmetry_space_group_name_H-M 'C 1 2/m 1'
_symmetry_Int_Tables_number 12
_cell_length_a 13.310
_cell_length_b 6.345
_cell_length_c 7.748
_cell_angle_alpha 90.00
_cell_angle_beta 120.97
_cell_angle_gamma 90.00
loop_
_symmetry_equiv_pos_as_xyz
'x,y,z'
'-x,-y,-z'
'-x,y,-z'
'x,-y,z'
'x+1/2,y+1/2,z'
'-x+1/2,-y+1/2,-z'
'-x+1/2,y+1/2,-z'
'x+1/2,-y+1/2,z'
loop_
_atom_site_label
_atom_site_type_symbol
_atom_site_fract_x
_atom_site_fract_y
_atom_site_fract_z
_atom_site_occupancy
Mg1 Mg 0.122 0.000 0.252 1
Sn1 Sn 0.000 0.000 0.500 1
Hg1 Hg 0.102 0.256 0.915 1
Hg2 Hg 0.128 0.500 0.579 1
Hg3 Hg 0.227 0.500 0.306 1
# - ΔE_f (eV/atom) = -0.0282

---

Entry 4:
# Si2AgSb, relaxed, DFT GGA-PBE
data_Si2AgSb
_chemical_formula_sum 'Si4 Ag2 Sb2'
_symmetry_space_group_name_H-M 'I -4 m 2'
_symmetry_Int_Tables_number 119
_symmetry_space_group_name_Hall 'I -4 -2'
_cell_length_a 4.479
_cell_length_b 4.479
_cell_length_c 7.806
_cell_angle_alpha 90.00
_cell_angle_beta 90.00
_cell_angle_gamma 90.00
loop_
_atom_site_label
_atom_site_type_symbol
_atom_site_fract_x
_atom_site_fract_y
_atom_site_fract_z
_atom_site_occupancy
Si1 Si 0.000 0.000 0.000 1
Si2 Si 0.000 0.500 0.250 1
Ag1 Ag 0.000 0.500 0.750 1
Sb1 Sb 0.000 0.000 0.500 1
# - formation energy from raw total energies (eV per atom) = 0.55

---

Entry 5:
# ReWC2, relaxed, DFT GGA-PBE
data_ReWC2
_chemical_formula_sum 'Re4 W4 C8'
_symmetry_space_group_name_H-M 'I -4 2 d'
_symmetry_Int_Tables_number 122
_symmetry_space_group_name_Hall 'I -4 2bw'
_cell_length_a 4.660
_cell_length_b 4.660
_cell_length_c 9.440
_cell_angle_alpha 90.00
_cell_angle_beta 90.00
_cell_angle_gamma 90.00
loop_
_atom_site_label
_atom_site_type_symbol
_atom_site_fract_x
_atom_site_fract_y
_atom_site_fract_z
_atom_site_occupancy
Re1 Re 0.000 0.000 0.000 1
W1 W 0.000 0.000 0.500 1
C1 C 0.243 0.250 0.125 1
# - ΔE_f (eV/atom) = 0.6564
# - distance to the lowest polymorph of the same formula (meV per atom) = 0

---

Entry 6:
# ZnRu2Se, relaxed, DFT GGA-PBE
data_ZnRu2Se
_chemical_formula_sum 'Zn2 Ru4 Se2'
_symmetry_space_group_name_H-M 'I -4 m 2'
_symmetry_Int_Tables_number 119
_symmetry_space_group_name_Hall 'I -4 -2'
_cell_length_a 3.846
_cell_length_b 3.846
_cell_length_c 8.059
_cell_angle_alpha 90.00
_cell_angle_beta 90.00
_cell_angle_gamma 90.00
loop_
_atom_site_label
_atom_site_type_symbol
_atom_site_fract_x
_atom_site_fract_y
_atom_site_fract_z
_atom_site_occupancy
Zn1 Zn 0.000 0.000 0.000 1
Ru1 Ru 0.000 0.000 0.500 1
Ru2 Ru 0.000 0.500 0.750 1
Se1 Se 0.000 0.500 0.250 1
# - distance to the lowest polymorph of the same formula (meV per atom) = 301
# - formation energy from raw total energies (eV per atom) = 0.39

---

Entry 7:
# PmY5Er12, relaxed, DFT GGA-PBE
data_PmY5Er12
_chemical_formula_sum 'Pm2 Y10 Er24'
_symmetry_space_group_name_H-M 'C m m m'
_symmetry_Int_Tables_number 65
_symmetry_space_group_name_Hall '-C 2 2'
_cell_length_a 14.970
_cell_length_b 15.013
_cell_length_c 4.994
_cell_angle_alpha 90.00
_cell_angle_beta 90.00
_cell_angle_gamma 90.00
loop_
_atom_site_label
_atom_site_type_symbol
_atom_site_fract_x
_atom_site_fract_y
_atom_site_fract_z
_atom_site_occupancy
Pm1 Pm 0.000 0.000 0.000 1
Y1 Y 0.000 0.167 0.500 1
Y2 Y 0.000 0.334 0.000 1
Y3 Y 0.000 0.500 0.500 1
Er1 Er 0.168 0.000 0.500 1
Er2 Er 0.168 0.167 0.000 1
Er3 Er 0.168 0.334 0.500 1
Er4 Er 0.168 0.500 0.000 1
# - ΔE_f (eV/atom) = 0.0255

---

Entry 8:
# AcTmTe, relaxed, DFT GGA-PBE
data_AcTmTe
_chemical_formula_sum 'Ac1 Tm1 Te1'
_symmetry_space_group_name_H-M 'P -6 m 2'
_symmetry_Int_Tables_number 187
_symmetry_space_group_name_Hall 'P -6 2'
_cell_length_a 5.3226
_cell_length_b 5.3226
_cell_length_c 4.1911
_cell_angle_alpha 90.00
_cell_angle_beta 90.00
_cell_angle_gamma 120.00
loop_
_atom_site_label
_atom_site_type_symbol
_atom_site_fract_x
_atom_site_fract_y
_atom_site_fract_z
_atom_site_occupancy
Ac1 Ac 0.0000 0.0000 0.0000 1
Tm1 Tm 0.3333 0.6667 0.5000 1
Te1 Te 0.6667 0.3333 0.5000 1
# - distance to the lowest polymorph of the same formula (meV per atom) = 203
# - formation energy from raw total energies (eV per atom) = -0.56

---

Entry 9:
# BeBSCl2, relaxed, DFT GGA-PBE
data_BeBSCl2
_chemical_formula_sum 'Be1 B1 S1 Cl2'
_symmetry_space_group_name_H-M 'P 4/m m m'
_symmetry_Int_Tables_number 123
_symmetry_space_group_name_Hall '-P 4 2'
_cell_length_a 4.488
_cell_length_b 4.488
_cell_length_c 4.374
_cell_angle_alpha 90.00
_cell_angle_beta 90.00
_cell_angle_gamma 90.00
loop_
_atom_site_label
_atom_site_type_symbol
_atom_site_fract_x
_atom_site_fract_y
_atom_site_fract_z
_atom_site_occupancy
Be1 Be 0.000 0.000 0.000 1
B1 B 0.500 0.500 0.500 1
S1 S 0.000 0.000 0.500 1
Cl1 Cl 0.000 0.500 0.000 1
# - distance to the lowest polymorph of the same formula (meV per atom) = 0
# - formation energy from raw total energies (eV per atom) = 0.64

---

Entry 10:
# Ac3PrTl2O, relaxed, DFT GGA-PBE
data_Ac3PrTl2O
_chemical_formula_sum 'Ac6 Pr2 Tl4 O2'
_symmetry_space_group_name_H-M 'I m m m'
_symmetry_Int_Tables_number 71
_symmetry_space_group_name_Hall '-I 2 2'
_cell_length_a 5.029
_cell_length_b 5.072
_cell_length_c 17.953
_cell_angle_alpha 90.00
_cell_angle_beta 90.00
_cell_angle_gamma 90.00
loop_
_atom_site_label
_atom_site_type_symbol
_atom_site_fract_x
_atom_site_fract_y
_atom_site_fract_z
_atom_site_occupancy
Ac1 Ac 0.000 0.000 0.000 1
Ac2 Ac 0.000 0.500 0.176 1
Pr1 Pr 0.000 0.000 0.500 1
Tl1 Tl 0.000 0.500 0.364 1
O1 O 0.000 0.500 0.000 1
# - formation energy from raw total energies (eV per atom) = -0.98

---

Entry 11:
# Co2ReRu, relaxed, DFT GGA-PBE
data_Co2ReRu
_chemical_formula_sum 'Co4 Re2 Ru2'
_symmetry_space_group_name_H-M 'C m m m'
_symmetry_Int_Tables_number 65
_symmetry_space_group_name_Hall '-C 2 2'
_cell_length_a 5.208
_cell_length_b 7.302
_cell_length_c 2.629
_cell_angle_alpha 90.00
_cell_angle_beta 90.00
_cell_angle_gamma 90.00
loop_
_atom_site_label
_atom_site_type_symbol
_atom_site_fract_x
_atom_site_fract_y
_atom_site_fract_z
_atom_site_occupancy
Co1 Co 0.250 0.250 0.000 1
Re1 Re 0.000 0.000 0.500 1
Ru1 Ru 0.000 0.500 0.500 1
# - ΔE_f (eV/atom) = 0.1142
# - distance to the lowest polymorph of the same formula (meV per atom) = 61

---

no.,total DFT energy (no corrections) (eV for the cell shown)
1,-138.963
2,-13.423
3,-19.834
4,-31.232
5,-164.894
6,-43.489
7,-182.733
8,-13.394
9,-15.049
10,-67.349
11,-70.958